No. 1
The following is a PBE-GGA calculation of a relaxed NpURh crystal, from the Alexandria database.

a b c (Å): 3.315 3.315 5.474
angles (deg): 107.63 107.63 90.00
Sites, in units of the cell vectors:
Rh  0.001  0.001  0.001
U  0.312  0.312  0.624
Np  0.688  0.688  0.375

## Properties
- polymorph energy (0 for the lowest one) (meV/atom) = 0

---

No. 2
The following is a PBE-GGA calculation of a relaxed Np2URh crystal, from the Alexandria database.

a b c (Å): 3.583 3.583 8.088
angles (deg): 77.20 77.20 60.00
Sites, in units of the cell vectors:
Rh  0.000  0.000  0.000
Np  0.896  0.896  0.313
Np  0.104  0.104  0.687
U  0.500  0.500  0.500

## Properties
- E_tot (eV/atom) = -10.490

---

No. 3
The following is a PBE-GGA calculation of a relaxed NpURh crystal, from the Alexandria database.

a b c (Å): 3.363 4.908 7.221
angles (deg): 90.00 90.00 90.00
Site moments in Bohr magnetons follow the coordinates.
Sites, in units of the cell vectors:
Rh  0.000  0.000  0.046  -0.15
Rh  0.500  0.500  0.954  -0.15
U  0.000  0.000  0.484  -0.01
U  0.500  0.500  0.516  -0.01
Np  0.000  0.500  0.244  1.80
Np  0.500  0.000  0.756  1.80

## Properties
- polymorph energy (0 for the lowest one) (meV/atom) = 293

---

No. 4
The following is a PBE-GGA calculation of a relaxed NpURh14 crystal, from the Alexandria database.

a b c (Å): 5.589 5.589 7.820
angles (deg): 90.00 90.00 90.00
Site moments in Bohr magnetons follow the coordinates.
Sites, in units of the cell vectors:
Rh  0.875  0.375  0.500  -0.09
Rh  0.624  0.624  0.244  -0.11
Rh  0.126  0.624  0.756  -0.11
Rh  0.126  0.126  0.756  -0.11
Rh  0.375  0.875  0.000  -0.07
Rh  0.624  0.126  0.756  -0.11
Rh  0.375  0.375  0.000  -0.03
Rh  0.875  0.875  0.000  -0.06
Rh  0.875  0.375  0.000  -0.07
Rh  0.624  0.624  0.756  -0.11
Rh  0.126  0.126  0.244  -0.11
Rh  0.624  0.126  0.244  -0.11
Rh  0.375  0.875  0.500  -0.09
Rh  0.126  0.624  0.244  -0.11
U  0.375  0.375  0.500  0.07
Np  0.875  0.875  0.500  2.31

## Properties
- E_tot (eV/atom) = -8.145

---

Result set for total moment: 0.000 0.003 0.542 0.076 μB per atom, one per record in the order listed.
Result set for N(E_F): 6.097 9.921 6.606 28.987 states/eV/f.u., one per record in the order listed.